This record from Alexandria via LeMat-Bulk describes a relaxed structure of Tb8Pm2Pr. The functional is PBE.

```
data_Tb8Pm2Pr
_symmetry_space_group_name_H-M 'C 1 2/m 1'
_symmetry_Int_Tables_number 12
_cell_length_a 9.085
_cell_length_b 16.244
_cell_length_c 5.944
_cell_angle_alpha 90.00
_cell_angle_beta 123.10
_cell_angle_gamma 90.00
loop_
_symmetry_equiv_pos_as_xyz
'x,y,z'
'-x,-y,-z'
'-x,y,-z'
'x,-y,z'
'x+1/2,y+1/2,z'
'-x+1/2,-y+1/2,-z'
'-x+1/2,y+1/2,-z'
'x+1/2,-y+1/2,z'
loop_
_atom_site_label
_atom_site_type_symbol
_atom_site_fract_x
_atom_site_fract_y
_atom_site_fract_z
_atom_site_occupancy
Tb1 Tb 0.000 0.208 0.000 1
Tb2 Tb 0.072 0.500 0.794 1
Tb3 Tb 0.216 0.117 0.676 1
Pm1 Pm 0.000 0.307 0.500 1
Pr1 Pr 0.000 0.000 0.000 1
```

Calculated values
Excess energy over the best structure of this formula in the dataset in meV per atom: 41
ΔH_f (0 K) in eV per atom: 0.1530